Fe3Br: relaxed, PBE.

Properties
* E above lowest polymorph: 0.000 eV per atom
* E: -48.81 eV/cell
* M_tot: 17.30 Bohr magnetons per cell
* mass density: 6.328 g/cm3

```
data_Fe3Br
_symmetry_space_group_name_H-M 'P 1'
_symmetry_Int_Tables_number 1
_cell_length_a 5.9465
_cell_length_b 5.9465
_cell_length_c 4.2405
_cell_angle_alpha 90.00
_cell_angle_beta 90.00
_cell_angle_gamma 120.00
loop_
_symmetry_equiv_pos_as_xyz
'x,y,z'
loop_
_atom_site_label
_atom_site_fract_x
_atom_site_fract_y
_atom_site_fract_z
_atom_site_occupancy
Fe1 0.8664 0.7327 0.7500 1
Fe2 0.1336 0.8664 0.2500 1
Fe3 0.8664 0.1336 0.7500 1
Fe4 0.2673 0.1336 0.7500 1
Fe5 0.7327 0.8664 0.2500 1
Fe6 0.1336 0.2673 0.2500 1
Br1 0.3333 0.6667 0.7500 1
Br2 0.6667 0.3333 0.2500 1
```

***

RbErCdSe3: relaxed, PBE.

Properties
* E: -48.91 eV/cell
* M_tot: 0.00 Bohr magnetons per cell
* mass density: 5.755 g/cm3

```
data_RbErCdSe3
_symmetry_space_group_name_H-M 'P 1'
_symmetry_Int_Tables_number 1
_cell_length_a 9.2338
_cell_length_b 9.2338
_cell_length_c 9.3847
_cell_angle_alpha 102.38
_cell_angle_beta 102.38
_cell_angle_gamma 26.43
loop_
_symmetry_equiv_pos_as_xyz
'x,y,z'
loop_
_atom_site_label
_atom_site_fract_x
_atom_site_fract_y
_atom_site_fract_z
_atom_site_occupancy
Cd1 0.4919 0.4919 0.7801 1
Cd2 0.5081 0.5081 0.2199 1
Er1 0.8290 0.8290 0.9207 1
Er2 0.1710 0.1710 0.0793 1
Se1 0.0000 0.0000 0.0000 1
Se2 0.6639 0.6639 0.2754 1
Se3 0.3361 0.3361 0.7246 1
Se4 0.5000 0.5000 0.5000 1
Se5 0.3329 0.3329 0.1292 1
Se6 0.6671 0.6671 0.8708 1
Rb1 0.8535 0.8535 0.4349 1
Rb2 0.1465 0.1465 0.5651 1
```

***

CsMgFeRe: relaxed, PBE.

Properties
* E above lowest polymorph: 0.039 eV per atom
* E: -16.12 eV/cell
* M_tot: 4.00 Bohr magnetons per cell
* mass density: 8.117 g/cm3

```
data_CsMgFeRe
_symmetry_space_group_name_H-M 'P 1'
_symmetry_Int_Tables_number 1
_cell_length_a 4.8701
_cell_length_b 4.8701
_cell_length_c 4.8701
_cell_angle_alpha 60.00
_cell_angle_beta 60.00
_cell_angle_gamma 60.00
loop_
_symmetry_equiv_pos_as_xyz
'x,y,z'
loop_
_atom_site_label
_atom_site_fract_x
_atom_site_fract_y
_atom_site_fract_z
_atom_site_occupancy
Cs1 0.5000 0.5000 0.5000 1
Re1 0.2500 0.2500 0.2500 1
Fe1 0.0000 0.0000 0.0000 1
Mg1 0.7500 0.7500 0.7500 1
```

***

Cu9Ag: relaxed, PBE.

Properties
* E above lowest polymorph: 0.005 eV per atom
* E: -35.87 eV/cell
* energy relative to the elements: 0.04 eV per atom
* mass density: 9.090 g/cm3

```
data_Cu9Ag
_symmetry_space_group_name_H-M 'P 1'
_symmetry_Int_Tables_number 1
_cell_length_a 4.4903
_cell_length_b 4.4903
_cell_length_c 11.2088
_cell_angle_alpha 100.66
_cell_angle_beta 100.66
_cell_angle_gamma 34.06
loop_
_symmetry_equiv_pos_as_xyz
'x,y,z'
loop_
_atom_site_label
_atom_site_fract_x
_atom_site_fract_y
_atom_site_fract_z
_atom_site_occupancy
Cu1 0.6023 0.6023 0.2128 1
Cu2 0.7988 0.7988 0.5960 1
Cu3 0.2012 0.2012 0.4040 1
Cu4 0.3977 0.3977 0.7872 1
Cu5 0.0992 0.0992 0.6942 1
Cu6 0.5000 0.5000 0.5000 1
Cu7 0.9008 0.9008 0.3058 1
Cu8 0.2979 0.2979 0.1113 1
Cu9 0.7021 0.7021 0.8887 1
Ag1 0.0000 0.0000 0.0000 1
```

***

LiOsAuO3: relaxed, PBE.

Properties
* E: -126.44 eV/cell
* M_tot: 0.01 Bohr magnetons per cell
* mass density: 10.134 g/cm3

```
data_LiOsAuO3
_symmetry_space_group_name_H-M 'P 1'
_symmetry_Int_Tables_number 1
_cell_length_a 2.7896
_cell_length_b 8.6167
_cell_length_c 12.0559
_cell_angle_alpha 90.00
_cell_angle_beta 90.00
_cell_angle_gamma 90.00
loop_
_symmetry_equiv_pos_as_xyz
'x,y,z'
loop_
_atom_site_label
_atom_site_fract_x
_atom_site_fract_y
_atom_site_fract_z
_atom_site_occupancy
Os1 0.7500 0.5633 0.4253 1
Os2 0.7500 0.9367 0.9253 1
Os3 0.2500 0.4367 0.5747 1
Os4 0.2500 0.0633 0.0747 1
O1 0.7500 0.1397 0.2903 1
O2 0.7500 0.0843 0.8228 1
O3 0.2500 0.5843 0.6772 1
O4 0.2500 0.8603 0.7097 1
O5 0.2500 0.6397 0.2097 1
O6 0.2500 0.1885 0.2325 1
O7 0.2500 0.9157 0.1772 1
O8 0.7500 0.6885 0.2675 1
O9 0.7500 0.3603 0.7903 1
O10 0.7500 0.8115 0.7675 1
O11 0.2500 0.3115 0.7325 1
O12 0.7500 0.4157 0.3228 1
Li1 0.2500 0.4127 0.2126 1
Li2 0.2500 0.0873 0.7126 1
Li3 0.7500 0.5873 0.7874 1
Li4 0.7500 0.9127 0.2874 1
Au1 0.2500 0.8480 0.4862 1
Au2 0.7500 0.1520 0.5138 1
Au3 0.7500 0.3480 0.0138 1
Au4 0.2500 0.6520 0.9862 1
```

***

BaDySc: relaxed, PBE.

Properties
* E above lowest polymorph: 0.000 eV per atom
* E: -10.34 eV/cell
* M_tot: 0.51 Bohr magnetons per cell
* mass density: 4.671 g/cm3

```
data_BaDySc
_symmetry_space_group_name_H-M 'P 1'
_symmetry_Int_Tables_number 1
_cell_length_a 5.5755
_cell_length_b 5.5755
_cell_length_c 5.5755
_cell_angle_alpha 60.00
_cell_angle_beta 60.00
_cell_angle_gamma 60.00
loop_
_symmetry_equiv_pos_as_xyz
'x,y,z'
loop_
_atom_site_label
_atom_site_fract_x
_atom_site_fract_y
_atom_site_fract_z
_atom_site_occupancy
Dy1 0.7500 0.7500 0.7500 1
Sc1 0.0000 0.0000 0.0000 1
Ba1 0.2500 0.2500 0.2500 1
```

***

Pr4C2I5: relaxed, PBE.

Properties
* E: -57.21 eV/cell
* M_tot: 0.00 Bohr magnetons per cell
* mass density: 5.626 g/cm3

```
data_Pr4C2I5
_symmetry_space_group_name_H-M 'P 1'
_symmetry_Int_Tables_number 1
_cell_length_a 10.3874
_cell_length_b 10.3874
_cell_length_c 8.8973
_cell_angle_alpha 102.89
_cell_angle_beta 102.89
_cell_angle_gamma 22.70
loop_
_symmetry_equiv_pos_as_xyz
'x,y,z'
loop_
_atom_site_label
_atom_site_fract_x
_atom_site_fract_y
_atom_site_fract_z
_atom_site_occupancy
I1 0.1610 0.1610 0.3579 1
I2 0.8390 0.8390 0.6421 1
I3 0.5000 0.5000 0.5000 1
I4 0.8331 0.8331 0.1874 1
I5 0.1669 0.1669 0.8126 1
Pr1 0.0000 0.0000 0.1910 1
Pr2 0.6512 0.6512 0.0813 1
Pr3 0.0000 0.0000 0.8090 1
Pr4 0.3488 0.3488 0.9187 1
C1 0.4650 0.4650 0.9821 1
C2 0.5350 0.5350 0.0179 1
```

***

GdAgPbSe2S: relaxed, PBE.

Properties
* E: -56.47 eV/cell
* M_tot: 0.02 Bohr magnetons per cell
* mass density: 7.364 g/cm3

```
data_GdAgPbSe2S
_symmetry_space_group_name_H-M 'P 1'
_symmetry_Int_Tables_number 1
_cell_length_a 7.1529
_cell_length_b 7.1529
_cell_length_c 10.4697
_cell_angle_alpha 90.00
_cell_angle_beta 90.00
_cell_angle_gamma 146.11
loop_
_symmetry_equiv_pos_as_xyz
'x,y,z'
loop_
_atom_site_label
_atom_site_fract_x
_atom_site_fract_y
_atom_site_fract_z
_atom_site_occupancy
S1 0.5837 0.4163 0.2500 1
S2 0.4163 0.5837 0.7500 1
Pb1 0.7550 0.2450 0.7500 1
Pb2 0.2450 0.7550 0.2500 1
Ag1 0.0272 0.9728 0.7500 1
Ag2 0.9728 0.0272 0.2500 1
Se1 0.1456 0.8544 0.5533 1
Se2 0.1456 0.8544 0.9467 1
Se3 0.8544 0.1456 0.0533 1
Se4 0.8544 0.1456 0.4467 1
Gd1 0.5000 0.5000 0.0000 1
Gd2 0.5000 0.5000 0.5000 1
```

***

Cd2TeAu: relaxed, PBE.

Properties
* E: -7.74 eV/cell
* mass density: 9.797 g/cm3

```
data_Cd2TeAu
_symmetry_space_group_name_H-M 'P 1'
_symmetry_Int_Tables_number 1
_cell_length_a 5.0877
_cell_length_b 5.0877
_cell_length_c 5.0877
_cell_angle_alpha 60.00
_cell_angle_beta 60.00
_cell_angle_gamma 60.00
loop_
_symmetry_equiv_pos_as_xyz
'x,y,z'
loop_
_atom_site_label
_atom_site_fract_x
_atom_site_fract_y
_atom_site_fract_z
_atom_site_occupancy
Te1 0.7500 0.7500 0.7500 1
Cd1 0.0000 0.0000 0.0000 1
Cd2 0.2500 0.2500 0.2500 1
Au1 0.5000 0.5000 0.5000 1
```

***

PrNdAu3: relaxed, PBE.

Properties
* E: -19.45 eV/cell
* energy relative to the elements: -0.02 eV per atom
* M_tot: 0.00 Bohr magnetons per cell
* mass density: 9.382 g/cm3

```
data_PrNdAu3
_symmetry_space_group_name_H-M 'P 1'
_symmetry_Int_Tables_number 1
_cell_length_a 5.3724
_cell_length_b 5.3724
_cell_length_c 5.3724
_cell_angle_alpha 90.00
_cell_angle_beta 90.00
_cell_angle_gamma 90.00
loop_
_symmetry_equiv_pos_as_xyz
'x,y,z'
loop_
_atom_site_label
_atom_site_fract_x
_atom_site_fract_y
_atom_site_fract_z
_atom_site_occupancy
Nd1 0.5000 0.5000 0.5000 1
Au1 0.5000 0.0000 0.5000 1
Au2 0.0000 0.5000 0.5000 1
Au3 0.5000 0.5000 0.0000 1
Pr1 0.0000 0.0000 0.0000 1
```